{"formula": "Na2HoCd", "functional": "GGA-PBE", "state": "optimized geometry", "cell": [[1.6726, 0.9657, 12.2971], [-1.6726, 0.9657, 12.2971], [0.0000, -1.9314, 12.2971]], "species": ["Na", "Na", "Ho", "Cd"], "fractional_positions": [[0.0913, 0.0913, 0.0913], [0.9087, 0.9087, 0.9087], [0.0000, 0.0000, 0.0000], [0.5000, 0.5000, 0.5000]], "formation_enthalpy_0k_ev_per_atom": 0.18}


{"formula": "Er3Zn7Ag2", "functional": "GGA-PBE", "state": "optimized geometry", "cell": [[2.7161, 1.5681, 8.7435], [-2.7161, 1.5681, 8.7435], [0.0000, -3.1362, 8.7435]], "species": ["Er", "Er", "Er", "Zn", "Zn", "Zn", "Zn", "Zn", "Zn", "Zn", "Ag", "Ag"], "fractional_positions": [[0.0000, 0.0000, 0.0000], [0.1419, 0.1419, 0.1419], [0.8581, 0.8581, 0.8581], [0.0784, 0.5890, 0.5890], [0.4110, 0.4110, 0.9216], [0.4110, 0.9216, 0.4110], [0.5000, 0.5000, 0.5000], [0.5890, 0.0784, 0.5890], [0.5890, 0.5890, 0.0784], [0.9216, 0.4110, 0.4110], [0.3349, 0.3349, 0.3349], [0.6651, 0.6651, 0.6651]], "formation_enthalpy_0k_ev_per_atom": -0.28}


{"formula": "CaBe2RePd", "functional": "GGA-PBE", "state": "optimized geometry", "cell": [[4.5233, 0.0000, 0.0000], [0.0000, 4.5233, 0.0000], [0.0000, 0.0000, 4.4639]], "species": ["Ca", "Be", "Be", "Re", "Pd"], "fractional_positions": [[0.0000, 0.0000, 0.0000], [0.0000, 0.5000, 0.0000], [0.5000, 0.0000, 0.0000], [0.0000, 0.0000, 0.5000], [0.5000, 0.5000, 0.5000]], "formation_enthalpy_0k_ev_per_atom": 2.47}


{"formula": "Ba2BPtS", "functional": "GGA-PBE", "state": "optimized geometry", "cell": [[5.9568, 0.0000, 0.0000], [0.0000, 5.9568, 0.0000], [0.0000, 0.0000, 3.9079]], "species": ["Ba", "Ba", "B", "Pt", "S"], "fractional_positions": [[0.0000, 0.5000, 0.0000], [0.5000, 0.0000, 0.0000], [0.0000, 0.0000, 0.5000], [0.5000, 0.5000, 0.5000], [0.0000, 0.0000, 0.0000]], "raw_formation_energy_ev_per_atom": -0.16}


{"formula": "YTe", "functional": "GGA-PBE", "state": "optimized geometry", "cell": [[-4.7262, 4.7262, 4.7262], [4.7262, -4.7262, 4.7262], [4.7262, 4.7262, -4.7262]], "species": ["Y", "Y", "Y", "Y", "Te", "Te", "Te", "Te"], "fractional_positions": [[0.0000, 0.0000, 0.7359], [0.0000, 0.7359, 0.0000], [0.2641, 0.2641, 0.2641], [0.7359, 0.0000, 0.0000], [0.0000, 0.0000, 0.3603], [0.0000, 0.3603, 0.0000], [0.3603, 0.0000, 0.0000], [0.6397, 0.6397, 0.6397]], "raw_formation_energy_ev_per_atom": -0.89}


{"formula": "K2PAu", "functional": "GGA-PBE", "state": "optimized geometry", "cell": [[4.5366, 0.0000, 0.0000], [0.0000, 4.5366, 0.0000], [0.0000, 0.0000, 4.9295]], "species": ["K", "K", "P", "Au"], "fractional_positions": [[0.0000, 0.5000, 0.0000], [0.5000, 0.0000, 0.0000], [0.0000, 0.0000, 0.5000], [0.5000, 0.5000, 0.5000]], "formation_enthalpy_0k_ev_per_atom": 0.05}


{"formula": "Pr2Nd5Y12", "functional": "GGA-PBE", "state": "optimized geometry", "cell": [[7.8713, -4.7198, 0.0000], [7.8713, 4.7198, 0.0000], [-0.3080, 0.0000, 8.7544]], "species": ["Pr", "Pr", "Nd", "Nd", "Nd", "Nd", "Nd", "Y", "Y", "Y", "Y", "Y", "Y", "Y", "Y", "Y", "Y", "Y", "Y"], "fractional_positions": [[0.1760, 0.8240, 0.0000], [0.8240, 0.1760, 0.0000], [0.2048, 0.2048, 0.0173], [0.2703, 0.2703, 0.4272], [0.5000, 0.5000, 0.5000], [0.7297, 0.7297, 0.5728], [0.7952, 0.7952, 0.9827], [0.0577, 0.0577, 0.3328], [0.0605, 0.6821, 0.3398], [0.1726, 0.5286, 0.7599], [0.3179, 0.9395, 0.6602], [0.4218, 0.4218, 0.1245], [0.4714, 0.8274, 0.2401], [0.5286, 0.1726, 0.7599], [0.5782, 0.5782, 0.8755], [0.6821, 0.0605, 0.3398], [0.8274, 0.4714, 0.2401], [0.9395, 0.3179, 0.6602], [0.9423, 0.9423, 0.6672]], "relative_energy_mev_per_atom": 11, "formation_enthalpy_0k_ev_per_atom": 0.12}


{"formula": "BaCuRh", "functional": "GGA-PBE", "state": "optimized geometry", "cell": [[0.0000, 3.3649, 3.3649], [3.3649, 0.0000, 3.3649], [3.3649, 3.3649, 0.0000]], "species": ["Ba", "Cu", "Rh"], "fractional_positions": [[0.0000, 0.0000, 0.0000], [0.5000, 0.5000, 0.5000], [0.7500, 0.7500, 0.7500]], "relative_energy_mev_per_atom": 371, "formation_enthalpy_0k_ev_per_atom": 0.32}


{"formula": "CeDyMnRu", "functional": "GGA-PBE", "state": "optimized geometry", "cell": [[0.0000, 3.4581, 3.4581], [3.4581, 0.0000, 3.4581], [3.4581, 3.4581, 0.0000]], "species": ["Ce", "Dy", "Mn", "Ru"], "fractional_positions": [[0.0000, 0.0000, 0.0000], [0.5000, 0.5000, 0.5000], [0.7500, 0.7500, 0.7500], [0.2500, 0.2500, 0.2500]], "formation_enthalpy_0k_ev_per_atom": -0.05}


{"formula": "GaPt6W", "functional": "GGA-PBE", "state": "optimized geometry", "cell": [[3.9575, 0.0000, 0.0000], [0.0000, 3.9575, 0.0000], [0.0000, 0.0000, 7.9483]], "species": ["Ga", "Pt", "Pt", "Pt", "Pt", "Pt", "Pt", "W"], "fractional_positions": [[0.0000, 0.0000, 0.0000], [0.0000, 0.5000, 0.2561], [0.0000, 0.5000, 0.7439], [0.5000, 0.0000, 0.2561], [0.5000, 0.0000, 0.7439], [0.5000, 0.5000, 0.0000], [0.5000, 0.5000, 0.5000], [0.0000, 0.0000, 0.5000]], "formation_enthalpy_0k_ev_per_atom": -0.34}


{"formula": "MgOs2O8", "functional": "GGA-PBE", "state": "optimized geometry", "cell": [[5.8237, 0.0000, 0.0000], [-2.9118, 5.0435, 0.0000], [0.0000, 0.0000, 6.4154]], "species": ["Mg", "Os", "Os", "O", "O", "O", "O", "O", "O", "O", "O"], "fractional_positions": [[0.0000, 0.0000, 0.0000], [0.3333, 0.6667, 0.2776], [0.6667, 0.3333, 0.7224], [0.1690, 0.3379, 0.1829], [0.1690, 0.8310, 0.1829], [0.3333, 0.6667, 0.5491], [0.3379, 0.1690, 0.8171], [0.6621, 0.8310, 0.1829], [0.6667, 0.3333, 0.4509], [0.8310, 0.1690, 0.8171], [0.8310, 0.6621, 0.8171]], "raw_formation_energy_ev_per_atom": -1.22}


{"formula": "RbCaPtF6", "functional": "GGA-PBE", "state": "optimized geometry", "cell": [[5.8296, 0.0000, 0.0000], [-2.7119, 5.1783, 0.0000], [-0.0522, -0.0793, 5.9209]], "species": ["Rb", "Ca", "Pt", "F", "F", "F", "F", "F", "F"], "fractional_positions": [[0.0000, 0.0000, 0.0000], [0.3288, 0.6718, 0.5003], [0.6695, 0.3300, 0.5008], [0.0003, 0.6216, 0.2806], [0.3797, 0.3387, 0.3200], [0.3804, 0.9982, 0.7218], [0.6501, 0.0274, 0.3196], [0.6604, 0.6185, 0.6820], [0.9737, 0.3503, 0.6816]], "raw_formation_energy_ev_per_atom": -2.45}


{"formula": "Th5UC5", "functional": "GGA-PBE", "state": "optimized geometry", "cell": [[5.8395, -2.6310, 0.0000], [5.8395, 2.6310, 0.0000], [-2.3467, 0.0000, 7.0147]], "species": ["Th", "Th", "Th", "Th", "Th", "U", "C", "C", "C", "C", "C"], "fractional_positions": [[0.0000, 0.0000, 0.0000], [0.3315, 0.3315, 0.1732], [0.3310, 0.3310, 0.6641], [0.6690, 0.6690, 0.3359], [0.6685, 0.6685, 0.8268], [0.0000, 0.0000, 0.5000], [0.1459, 0.1459, 0.7964], [0.1602, 0.1602, 0.3472], [0.5000, 0.5000, 0.5000], [0.8398, 0.8398, 0.6528], [0.8541, 0.8541, 0.2036]], "formation_enthalpy_0k_ev_per_atom": -0.24}


{"formula": "ZrHgPd2", "functional": "GGA-PBE", "state": "optimized geometry", "cell": [[3.4890, 0.0000, 0.0000], [0.0000, 3.4890, 0.0000], [0.0000, 0.0000, 6.1060]], "species": ["Zr", "Hg", "Pd", "Pd"], "fractional_positions": [[0.0000, 0.0000, 0.0000], [0.0000, 0.0000, 0.5000], [0.5000, 0.5000, 0.2367], [0.5000, 0.5000, 0.7633]], "formation_enthalpy_0k_ev_per_atom": -0.47}


{"formula": "Ge2ICl", "functional": "GGA-PBE", "state": "optimized geometry", "cell": [[0.0000, 3.6372, 3.6372], [3.6372, 0.0000, 3.6372], [3.6372, 3.6372, 0.0000]], "species": ["Ge", "Ge", "I", "Cl"], "fractional_positions": [[0.2500, 0.2500, 0.2500], [0.7500, 0.7500, 0.7500], [0.0000, 0.0000, 0.0000], [0.5000, 0.5000, 0.5000]], "raw_formation_energy_ev_per_atom": 0.26, "relative_energy_mev_per_atom": 210}


{"formula": "KRbZrO3", "functional": "GGA-PBE", "state": "optimized geometry", "cell": [[3.2469, -6.3575, 0.0000], [3.2469, 6.3575, 0.0000], [-0.6148, 0.0000, 5.9073]], "species": ["K", "K", "Rb", "Rb", "Zr", "Zr", "O", "O", "O", "O", "O", "O"], "fractional_positions": [[0.0834, 0.9166, 0.7500], [0.9166, 0.0834, 0.2500], [0.2491, 0.7509, 0.2500], [0.7509, 0.2491, 0.7500], [0.4468, 0.5532, 0.7500], [0.5532, 0.4468, 0.2500], [0.2768, 0.3170, 0.0036], [0.2927, 0.7073, 0.7500], [0.3170, 0.2768, 0.5036], [0.6831, 0.7232, 0.4964], [0.7073, 0.2927, 0.2500], [0.7232, 0.6831, 0.9964]], "raw_formation_energy_ev_per_atom": -2.42}


{"formula": "SrInSn2", "functional": "GGA-PBE", "state": "optimized geometry", "cell": [[4.1002, 0.0000, 0.0000], [0.0000, 4.1002, 0.0000], [0.0000, 0.0000, 7.1367]], "species": ["Sr", "In", "Sn", "Sn"], "fractional_positions": [[0.0000, 0.0000, 0.0000], [0.0000, 0.0000, 0.5000], [0.5000, 0.5000, 0.2918], [0.5000, 0.5000, 0.7082]], "formation_enthalpy_0k_ev_per_atom": -0.31}


{"formula": "Pa2TlIn", "functional": "GGA-PBE", "state": "optimized geometry", "cell": [[4.4898, 0.0000, 0.0000], [0.0000, 4.4898, 0.0000], [0.0000, 0.0000, 4.9907]], "species": ["Pa", "Pa", "Tl", "In"], "fractional_positions": [[0.0000, 0.5000, 0.0000], [0.5000, 0.0000, 0.0000], [0.0000, 0.0000, 0.5000], [0.5000, 0.5000, 0.5000]], "relative_energy_mev_per_atom": 0, "formation_enthalpy_0k_ev_per_atom": 0.11}


{"formula": "YSi7Rh3", "functional": "GGA-PBE", "state": "optimized geometry", "cell": [[3.8152, 2.2027, 6.6682], [-3.8152, 2.2027, 6.6682], [0.0000, -4.4054, 6.6682]], "species": ["Y", "Y", "Si", "Si", "Si", "Si", "Si", "Si", "Si", "Si", "Si", "Si", "Si", "Si", "Si", "Si", "Rh", "Rh", "Rh", "Rh", "Rh", "Rh"], "fractional_positions": [[0.0000, 0.0000, 0.0000], [0.5000, 0.5000, 0.5000], [0.0654, 0.8513, 0.6721], [0.1487, 0.3279, 0.9346], [0.1721, 0.3513, 0.5654], [0.2500, 0.2500, 0.2500], [0.3279, 0.9346, 0.1487], [0.3513, 0.5654, 0.1721], [0.4346, 0.8279, 0.6487], [0.5654, 0.1721, 0.3513], [0.6487, 0.4346, 0.8279], [0.6721, 0.0654, 0.8513], [0.7500, 0.7500, 0.7500], [0.8279, 0.6487, 0.4346], [0.8513, 0.6721, 0.0654], [0.9346, 0.1487, 0.3279], [0.0696, 0.7500, 0.4304], [0.2500, 0.5696, 0.9304], [0.4304, 0.0696, 0.7500], [0.5696, 0.9304, 0.2500], [0.7500, 0.4304, 0.0696], [0.9304, 0.2500, 0.5696]], "raw_formation_energy_ev_per_atom": -0.69}


{"formula": "NaBeInO3", "functional": "GGA-PBE", "state": "optimized geometry", "cell": [[6.7003, 0.0000, 0.0000], [0.0000, 3.1324, 0.0000], [-1.6211, 0.0000, 7.3317]], "species": ["Na", "Na", "Be", "Be", "In", "In", "O", "O", "O", "O", "O", "O"], "fractional_positions": [[0.1850, 0.2500, 0.2133], [0.8150, 0.7500, 0.7867], [0.0753, 0.2500, 0.5945], [0.9247, 0.7500, 0.4055], [0.3397, 0.7500, 0.8427], [0.6603, 0.2500, 0.1573], [0.1099, 0.2500, 0.8144], [0.1556, 0.7500, 0.5336], [0.4323, 0.7500, 0.1476], [0.5677, 0.2500, 0.8524], [0.8444, 0.2500, 0.4664], [0.8901, 0.7500, 0.1856]], "raw_formation_energy_ev_per_atom": -1.87}


| no. | spin magnetization (Bohr magnetons per cell) | electronic total energy (eV/atom) |
| --- | --- | --- |
| 1 | 0.0 | -1.852 |
| 2 | 0.0 | -2.643 |
| 3 | 0.0 | -2.954 |
| 4 | 0.0 | -4.295 |
| 5 | 2.1 | -5.690 |
| 6 | 0.0 | -2.673 |
| 7 | 0.0 | -5.720 |
| 8 | 0.0 | -4.136 |
| 9 | 2.5 | -7.300 |
| 10 | 0.0 | -6.864 |
| 11 | 2.1 | -7.013 |
| 12 | 1.0 | -4.703 |
| 13 | 0.0 | -8.829 |
| 14 | 0.0 | -5.282 |
| 15 | 0.0 | -2.903 |
| 16 | 0.0 | -6.671 |
| 17 | 0.0 | -3.415 |
| 18 | 1.2 | -5.915 |
| 19 | 0.0 | -6.732 |
| 20 | 0.0 | -5.644 |